Entry 1:
DyCrBr6: relaxed, PBE.

The structure in extended XYZ format:
```
8
Lattice="6.749 0.009 0.007 3.367 5.849 0.012 3.365 1.942 6.074" Properties=species:S:1:pos:R:3 pbc="T T T"
Dy 6.740 3.900 3.047
Cr 0.000 0.000 0.000
Br 4.410 3.750 4.631
Br 8.030 1.954 4.633
Br 5.705 1.813 1.455
Br 5.450 5.846 1.460
Br 9.070 4.049 1.462
Br 7.775 5.987 4.638
```

Entry 2:
ErCrBr6: relaxed, PBE.

The structure in extended XYZ format:
```
8
Lattice="-2.834 -4.045 4.562 1.391 -6.578 -0.014 4.161 -2.568 5.263" Properties=species:S:1:pos:R:3 pbc="T T T"
Er 1.359 -6.595 4.906
Cr 0.000 0.000 0.000
Br 3.473 -4.843 4.372
Br 1.102 -5.601 7.508
Br -0.414 -4.610 4.045
Br 1.616 -7.590 2.304
Br -0.756 -8.348 5.439
Br 3.132 -8.581 5.766
```

Entry 3:
Er2CrBr: relaxed, PBE.

The structure in extended XYZ format:
```
4
Lattice="-1.219 3.158 0.104 -3.210 0.546 0.934 1.584 2.086 10.366" Properties=species:S:1:pos:R:3 pbc="T T T"
Cr 0.000 0.000 0.000
Br -1.422 2.895 5.702
Er 0.750 1.854 7.636
Er -3.595 3.937 3.768
```

We obtain calculated volume values of 29.92 29.58 26.11 Å³/atom for the records listed above, in that order.
We obtain raw formation energy values of -116.3 -115.7 17.5 kJ per mole of atoms for the records listed above, in that order.